a) # Ba2NaAc | Alexandria | PBE-GGA | optimized geometry
data_Ba2NaAc
_symmetry_space_group_name_H-M 'P 4/m m m'
_symmetry_Int_Tables_number 123
_symmetry_space_group_name_Hall '-P 4 2'
_cell_length_a 6.877
_cell_length_b 6.877
_cell_length_c 4.353
_cell_angle_alpha 90.00
_cell_angle_beta 90.00
_cell_angle_gamma 90.00
loop_
_atom_site_label
_atom_site_fract_x
_atom_site_fract_y
_atom_site_fract_z
Ba1 0.000 0.500 0.000
Na1 0.000 0.000 0.500
Ac1 0.500 0.500 0.500
# Size of the total moment, μB per formula unit: 0.00


b) # Ba2NaAc | Alexandria | PBE-GGA | optimized geometry
data_Ba2NaAc
_symmetry_space_group_name_H-M 'P 4/m m m'
_symmetry_Int_Tables_number 123
_symmetry_space_group_name_Hall '-P 4 2'
_cell_length_a 4.175
_cell_length_b 4.175
_cell_length_c 11.766
_cell_angle_alpha 90.00
_cell_angle_beta 90.00
_cell_angle_gamma 90.00
loop_
_atom_site_label
_atom_site_fract_x
_atom_site_fract_y
_atom_site_fract_z
Ba1 0.000 0.000 0.242
Na1 0.500 0.500 0.000
Ac1 0.500 0.500 0.500
# Size of the total moment, μB per formula unit: 0.00


c) # Ba2NaAc | Alexandria | PBE-GGA | optimized geometry
data_Ba2NaAc
_symmetry_space_group_name_H-M 'R 3 m'
_symmetry_Int_Tables_number 160
_symmetry_space_group_name_Hall 'R 3 -2"'
_cell_length_a 4.2260
_cell_length_b 4.2260
_cell_length_c 40.1100
_cell_angle_alpha 90.00
_cell_angle_beta 90.00
_cell_angle_gamma 120.00
loop_
_atom_site_label
_atom_site_fract_x
_atom_site_fract_y
_atom_site_fract_z
Ba1 0.0000 0.0000 0.0000
Ba2 0.0000 0.0000 0.1665
Na1 0.0000 0.0000 0.5832
Ac1 0.0000 0.0000 0.7499
# Size of the total moment, μB per formula unit: 0.00


Energy comparison, zero being the most stable, in eV/atom: a) 0.041; b) 0.000; c) 0.010.


a) # Ba2NaAc | Alexandria | PBE-GGA | optimized geometry
data_Ba2NaAc
_symmetry_space_group_name_H-M 'F m -3 m'
_symmetry_Int_Tables_number 225
_symmetry_space_group_name_Hall '-F 4 2 3'
_cell_length_a 9.440
_cell_length_b 9.440
_cell_length_c 9.440
_cell_angle_alpha 90.00
_cell_angle_beta 90.00
_cell_angle_gamma 90.00
loop_
_atom_site_label
_atom_site_fract_x
_atom_site_fract_y
_atom_site_fract_z
Ba1 0.250 0.250 0.250
Na1 0.000 0.000 0.000
Ac1 0.000 0.000 0.500
# Size of the total moment, μB per formula unit: 0.00


b) # Ba2NaAc | Alexandria | PBE-GGA | optimized geometry
data_Ba2NaAc
_symmetry_space_group_name_H-M 'R -3 m'
_symmetry_Int_Tables_number 166
_symmetry_space_group_name_Hall '-R 3 2"'
_cell_length_a 4.0290
_cell_length_b 4.0290
_cell_length_c 43.9921
_cell_angle_alpha 90.00
_cell_angle_beta 90.00
_cell_angle_gamma 120.00
loop_
_atom_site_label
_atom_site_fract_x
_atom_site_fract_y
_atom_site_fract_z
Ba1 0.0000 0.0000 0.0894
Na1 0.0000 0.0000 0.5000
Ac1 0.0000 0.0000 0.0000
# Size of the total moment, μB per formula unit: 0.07


Energy comparison, zero being the most stable, in eV/atom: a) 0.000; b) 0.039.